# PBE-GGA ZnSn, relaxed
# calculated volume = 36.2 A^3/atom
# raw total energy = -26.7 eV per cell
# ΔH_f (0 K) = 414 meV per atom
data_ZnSn
_cell_length_a 7.576
_cell_length_b 7.576
_cell_length_c 7.576
_cell_angle_alpha 90.00
_cell_angle_beta 90.00
_cell_angle_gamma 90.00
_symmetry_space_group_name_H-M 'P m -3 n'
_symmetry_Int_Tables_number 223
_symmetry_space_group_name_Hall '-P 4n 2 3'
loop_
_atom_site_label
_atom_site_fract_x
_atom_site_fract_y
_atom_site_fract_z
Zn1 0.000 0.250 0.500
Sn1 0.000 0.500 0.250